## Pm12SmY7 (PBE)

Data for a geometry-optimized Pm12SmY7 structure.

Calculated values
* uncorrected energy: -5.249 eV/atom
* total magnetic moment: 0.0 μB per formula unit
* symmetry: No. 166
* D(E_F): 38.79 states/eV per cell
* calculated formation energy: 0.100 eV/atom

```
data_Pm12SmY7
_space_group_name_H-M_alt 'P 1'
_space_group_IT_number 1
_cell_length_a 8.886
_cell_length_b 8.886
_cell_length_c 8.886
_cell_angle_alpha 98.36
_cell_angle_beta 98.36
_cell_angle_gamma 98.36
loop_
_space_group_symop_operation_xyz
'x,y,z'
loop_
_atom_site_label
_atom_site_fract_x
_atom_site_fract_y
_atom_site_fract_z
Pm1 0.000 0.261 0.739
Pm2 0.000 0.739 0.261
Pm3 0.143 0.143 0.411
Pm4 0.143 0.411 0.143
Pm5 0.261 0.000 0.739
Pm6 0.261 0.739 0.000
Pm7 0.411 0.143 0.143
Pm8 0.589 0.857 0.857
Pm9 0.739 0.000 0.261
Pm10 0.739 0.261 0.000
Pm11 0.857 0.589 0.857
Pm12 0.857 0.857 0.589
Sm1 0.500 0.500 0.500
Y1 0.000 0.000 0.000
Y2 0.161 0.597 0.597
Y3 0.403 0.403 0.839
Y4 0.403 0.839 0.403
Y5 0.597 0.161 0.597
Y6 0.597 0.597 0.161
Y7 0.839 0.403 0.403
```